No. 1
Material: Eu2RhO4
Method: DFT, PBE
State: optimized geometry

As for the crystal system: tetragonal.

It has space group I4/mmm (No. 139), with a = 3.9866 Å, b = 3.9866 Å, c = 12.1607 Å, α = 90.00°, β = 90.00° and γ = 90.00°. The distinct sites, in fractional coordinates, are Eu at (0.0000, 0.0000, 0.1409), Rh at (0.0000, 0.0000, 0.5000), O at (0.0000, 0.0000, 0.3294) and O at (0.0000, 0.5000, 0.0000).



No. 2
Material: EuRhO2
Method: DFT, PBE
State: optimized geometry

As for the crystal system: trigonal.

It has space group R-3m (No. 166, hexagonal axes), with a = 3.5773 Å, b = 3.5773 Å, c = 14.2590 Å, α = 90.00°, β = 90.00° and γ = 120.00°. The distinct sites, in fractional coordinates, are Eu at (0.0000, 0.0000, 0.0000), Rh at (0.0000, 0.0000, 0.5000) and O at (0.0000, 0.0000, 0.2393).



No. 3
Material: Eu3Rh5O12
Method: DFT, PBE
State: optimized geometry

As for the crystal system: cubic.

It has space group Ia-3d (No. 230), with a = 12.9085 Å, b = 12.9085 Å, c = 12.9085 Å, α = 90.00°, β = 90.00° and γ = 90.00°. The distinct sites, in fractional coordinates, are Eu at (0.0000, 0.2500, 0.1250), Rh at (0.0000, 0.0000, 0.0000), Rh at (0.0000, 0.2500, 0.3750) and O at (0.0251, 0.0548, 0.6468).



No. 4
Material: EuRhO3
Method: DFT, PBE
State: optimized geometry

As for the crystal system: orthorhombic.

It has space group Pnma (No. 62), with a = 5.8009 Å, b = 7.8132 Å, c = 5.4375 Å, α = 90.00°, β = 90.00° and γ = 90.00°. The distinct sites, in fractional coordinates, are Eu at (0.0726, 0.2500, 0.0223), Rh at (0.0000, 0.0000, 0.5000), O at (0.0344, 0.7500, 0.3912) and O at (0.1963, 0.5530, 0.8119).



No. 5
Material: Eu3Ru5O12
Method: DFT, PBE
State: optimized geometry

As for the crystal system: cubic.

It has space group Ia-3d (No. 230), with a = 12.8664 Å, b = 12.8664 Å, c = 12.8664 Å, α = 90.00°, β = 90.00° and γ = 90.00°. The distinct sites, in fractional coordinates, are Eu at (0.0000, 0.2500, 0.1250), Ru at (0.0000, 0.0000, 0.0000), Ru at (0.0000, 0.2500, 0.3750) and O at (0.0289, 0.0540, 0.6470).



No. 6
Material: Eu2RuO4
Method: DFT, PBE
State: optimized geometry

As for the crystal system: tetragonal.

It has space group I4/mmm (No. 139), with a = 3.9510 Å, b = 3.9510 Å, c = 12.3158 Å, α = 90.00°, β = 90.00° and γ = 90.00°. The distinct sites, in fractional coordinates, are Eu at (0.0000, 0.0000, 0.1427), Ru at (0.0000, 0.0000, 0.5000), O at (0.0000, 0.0000, 0.3304) and O at (0.0000, 0.5000, 0.0000).



No. 7
Material: EuRuO2
Method: DFT, PBE
State: optimized geometry

As for the crystal system: trigonal.

It has space group R-3m (No. 166, hexagonal axes), with a = 3.4863 Å, b = 3.4863 Å, c = 14.3461 Å, α = 90.00°, β = 90.00° and γ = 120.00°. The distinct sites, in fractional coordinates, are Eu at (0.0000, 0.0000, 0.0000), Ru at (0.0000, 0.0000, 0.5000) and O at (0.0000, 0.0000, 0.2299).



No. 8
Material: Eu3RuO7
Method: DFT, PBE
State: optimized geometry

As for the crystal system: orthorhombic.

It has space group Cmcm (No. 63), with a = 10.8447 Å, b = 7.4152 Å, c = 7.5611 Å, α = 90.00°, β = 90.00° and γ = 90.00°. The distinct sites, in fractional coordinates, are Eu at (0.0000, 0.0000, 0.0000), Eu at (0.2271, 0.2971, 0.2500), Ru at (0.0000, 0.5000, 0.0000), O at (0.0000, 0.4204, 0.2500), O at (0.1251, 0.3161, 0.5394) and O at (0.1330, 0.0256, 0.2500).



No. 9
Material: Eu2Ru2O7
Method: DFT, PBE
State: optimized geometry

As for the crystal system: cubic.

It has space group Fd-3m (No. 227, origin choice 2), with a = 10.4007 Å, b = 10.4007 Å, c = 10.4007 Å, α = 90.00°, β = 90.00° and γ = 90.00°. The distinct sites, in fractional coordinates, are Eu at (0.0000, 0.0000, 0.0000), Ru at (0.0000, 0.0000, 0.5000), O at (0.0737, 0.3750, 0.8750) and O at (0.1250, 0.1250, 0.1250).



No. 10
Material: EuRuO3
Method: DFT, PBE
State: optimized geometry

As for the crystal system: cubic.

It has space group Pm-3m (No. 221), with a = 3.9684 Å, b = 3.9684 Å, c = 3.9684 Å, α = 90.00°, β = 90.00° and γ = 90.00°. The distinct sites, in fractional coordinates, are Eu at (0.0000, 0.0000, 0.0000), Ru at (0.5000, 0.5000, 0.5000) and O at (0.0000, 0.5000, 0.5000).



No. 11
Material: Eu2SO6
Method: DFT, PBE
State: optimized geometry

As for the crystal system: monoclinic.

It has space group C2/c (No. 15), with a = 13.8256 Å, b = 4.2695 Å, c = 8.3077 Å, α = 90.00°, β = 107.97° and γ = 90.00°. The distinct sites, in fractional coordinates, are Eu at (0.1689, 0.0097, 0.0835), S at (0.0000, 0.4426, 0.2500), O at (0.0007, 0.2365, 0.3962), O at (0.0933, 0.3626, 0.7967) and O at (0.2456, 0.4807, 0.6230).



No. 12
Material: EuSbO4
Method: DFT, PBE
State: optimized geometry

As for the crystal system: monoclinic.

It has space group P2_1/c (No. 14), with a = 7.7894 Å, b = 5.4971 Å, c = 7.6621 Å, α = 90.00°, β = 99.93° and γ = 90.00°. The distinct sites, in fractional coordinates, are Eu at (0.1449, 0.2282, 0.3956), Sb at (0.3381, 0.7319, 0.1965), O at (0.1216, 0.5203, 0.1712), O at (0.1675, 0.5016, 0.6283), O at (0.3305, 0.6336, 0.9419) and O at (0.4390, 0.0880, 0.8031).



No. 13
Material: EuSbO2
Method: DFT, PBE
State: optimized geometry

As for the crystal system: trigonal.

It has space group R-3m (No. 166, hexagonal axes), with a = 3.6123 Å, b = 3.6123 Å, c = 20.1259 Å, α = 90.00°, β = 90.00° and γ = 120.00°. The distinct sites, in fractional coordinates, are Eu at (0.0000, 0.0000, 0.0000), Sb at (0.0000, 0.0000, 0.5000) and O at (0.0000, 0.0000, 0.3917).



No. 14
Material: EuSbO3
Method: DFT, PBE
State: optimized geometry

As for the crystal system: cubic.

It has space group Pm-3m (No. 221), with a = 4.2170 Å, b = 4.2170 Å, c = 4.2170 Å, α = 90.00°, β = 90.00° and γ = 90.00°. The distinct sites, in fractional coordinates, are Eu at (0.0000, 0.0000, 0.0000), Sb at (0.5000, 0.5000, 0.5000) and O at (0.0000, 0.5000, 0.5000).



No. 15
Material: Eu4Sb2O
Method: DFT, PBE
State: optimized geometry

As for the crystal system: tetragonal.

It has space group I4/mmm (No. 139), with a = 4.8812 Å, b = 4.8812 Å, c = 16.9312 Å, α = 90.00°, β = 90.00° and γ = 90.00°. The distinct sites, in fractional coordinates, are Eu at (0.0000, 0.0000, 0.1671), Eu at (0.0000, 0.5000, 0.0000), Sb at (0.0000, 0.0000, 0.3622) and O at (0.0000, 0.0000, 0.0000).



Number 1: calculated total energy -0.6529 Ry/atom. Number 2: calculated total energy -0.6143 Ry/atom. Number 3: calculated total energy -0.5629 Ry/atom. Number 4: calculated total energy -0.6092 Ry/atom. Number 5: calculated total energy -0.6080 Ry/atom. Number 6: calculated total energy -0.6792 Ry/atom. Number 7: calculated total energy -0.6489 Ry/atom. Number 8: calculated total energy -0.6609 Ry/atom. Number 9: calculated total energy -0.6290 Ry/atom. Number 10: calculated total energy -0.6323 Ry/atom. Number 11: calculated total energy -0.6108 Ry/atom. Number 12: calculated total energy -0.5687 Ry/atom. Number 13: calculated total energy -0.5899 Ry/atom. Number 14: calculated total energy -0.5689 Ry/atom. Number 15: calculated total energy -0.6865 Ry/atom.